Density functional theory data (PBE) for an optimized crystal structure of ScAlRu.

Cell and atoms, written as extended XYZ:
```
3
Lattice="-2.6607 -3.3303 -0.5448 0.3669 -3.4749 2.5015 -3.0076 -0.8520 2.9488" Properties=species:S:1:pos:R:3 pbc="T T T"
Ru 0.0000 0.0000 0.0000
Sc -2.6507 -3.8287 2.4528
Al -3.9761 -5.7430 3.6792
```

Properties
N(E_F) ... 0.880 states/eV/atom
Final energy ... -6.502 eV per atom
Density ... 5.12 g/cm³
Formation energy ... -0.0516 eV per atom
V ... 18.71 Å³ per atom